LiIN2F: relaxed, PBE.

abc: 4.0793 4.0793 6.8735
angles: 90.00 90.00 90.00
With the nearest neighbours (Å) after each atom.
Fractional coordinates of all 5 atoms:
I  0.0000  0.0000  0.5000  4 Li 2.88
N  0.0000  0.5000  0.0000  2 F 2.04
N  0.5000  0.0000  0.0000  2 F 2.04
Li  0.5000  0.5000  0.5000  4 I 2.88
F  0.0000  0.0000  0.0000  4 N 2.04

Computed properties:
- symmetry = P4/mmm (123)
- density of states at the Fermi level (states/eV/f.u.) = 3.2
- E above lowest polymorph (eV per atom) = 0.7616


Sn2Pb3: relaxed, PBE.

abc: 3.4464 6.0388 15.2900
angles: 88.16 83.53 73.42
With the nearest neighbours (Å) after each atom.
Fractional coordinates of all 10 atoms:
Sn  0.1840  0.4623  0.0932  4 Sn 3.34-3.45, 7 Pb 3.38-3.63
Sn  0.7395  0.5377  0.9068  4 Sn 3.34-3.45, 7 Pb 3.38-3.63
Sn  0.0272  0.9623  0.4068  4 Sn 3.34-3.45, 7 Pb 3.38-3.63
Sn  0.3963  0.0377  0.5932  4 Sn 3.34-3.45, 7 Pb 3.38-3.63
Pb  0.4701  0.9164  0.1970  4 Sn 3.38-3.63, 6 Pb 3.42-3.49
Pb  0.5836  0.0836  0.8030  4 Sn 3.38-3.63, 6 Pb 3.42-3.49
Pb  0.4171  0.4164  0.3030  4 Sn 3.38-3.63, 6 Pb 3.42-3.49
Pb  0.1366  0.5836  0.6970  4 Sn 3.38-3.63, 6 Pb 3.42-3.49
Pb  0.0228  0.0000  0.0000  6 Sn 3.38-3.59, 6 Pb 3.45-3.49
Pb  0.7728  0.5000  0.5000  6 Sn 3.38-3.59, 6 Pb 3.45-3.49

Computed properties:
- symmetry = Fdd2 (43)
- density of states at the Fermi level (states/eV/f.u.) = 2.5
- E above lowest polymorph (eV per atom) = 0.0000
- energy relative to the elements (eV/atom) = 0.0474


Cu2PPt: relaxed, PBE.

abc: 3.2365 3.2365 5.1753
angles: 90.00 90.00 90.01
With the nearest neighbours (Å) after each atom.
Fractional coordinates of all 4 atoms:
Cu  0.0000  0.0000  0.0231  4 Cu 2.53, 2 P 2.56-2.61, 4 Pt 2.75
Cu  0.5000  0.5000  0.2302  4 Cu 2.53, 2 Pt 2.58-2.60, 4 P 2.73
P  0.0000  0.0000  0.5183  4 Pt 2.53, 6 Cu 2.56-2.73
Pt  0.5000  0.5000  0.7285  4 P 2.53, 6 Cu 2.58-2.75

Computed properties:
- symmetry = P4mm (99)
- density of states at the Fermi level (states/eV/f.u.) = 1.8
- E above lowest polymorph (eV per atom) = 0.0519
- energy relative to the elements (eV/atom) = -0.0405


Hf2AlGaTc: relaxed, PBE.

abc: 4.8944 4.5239 4.8944
angles: 90.00 90.00 90.00
With the nearest neighbours (Å) after each atom.
Fractional coordinates of all 5 atoms:
Hf  0.0000  0.0000  0.5000  2 Ga 2.45
Hf  0.5000  0.0000  0.0000  2 Ga 2.45
Tc  0.0000  0.5000  0.0000  2 Ga 2.26
Ga  0.0000  0.0000  0.0000  2 Tc 2.26, 4 Hf 2.45
Al  0.5000  0.5000  0.5000  8 Hf 3.33, 4 Tc 3.46

Computed properties:
- symmetry = P4/mmm (123)
- density of states at the Fermi level (states/eV/f.u.) = 5.5
- energy relative to the elements (eV/atom) = 0.6726


Li2YCuF8: relaxed, PBE.

abc: 4.7597 4.7727 6.5032
angles: 90.00 90.00 89.79
With the nearest neighbours (Å) after each atom.
Fractional coordinates of all 12 atoms:
Li  0.5000  0.5000  0.7670  6 F 2.05-2.13
Li  0.5000  0.5000  0.2330  6 F 2.05-2.13
Y  0.0000  0.0000  0.5000  6 F 2.13-2.23
Cu  0.0000  0.0000  0.0000  6 F 1.92-1.95
F  0.1933  0.8026  0.2222  1 Cu 1.95, 1 Li 2.05
F  0.7140  0.7186  0.0000  1 Cu 1.92, 2 Li 2.10
F  0.8066  0.1974  0.2222  1 Cu 1.95, 1 Li 2.05
F  0.8067  0.1974  0.7778  1 Cu 1.95, 1 Li 2.05
F  0.2860  0.2814  0.0000  1 Cu 1.92, 2 Li 2.10
F  0.1934  0.8026  0.7778  1 Cu 1.95, 1 Li 2.05
F  0.6803  0.6874  0.5000  2 Li 2.13, 1 Y 2.13
F  0.3197  0.3126  0.5000  2 Li 2.13, 1 Y 2.13

Computed properties:
- symmetry = P2/m (10)
- uncorrected energy (eV per atom) = -5.200


LaSc2GeP: relaxed, PBE.

abc: 5.2609 5.2908 5.2609
angles: 90.00 90.00 90.00
With the nearest neighbours (Å) after each atom.
Fractional coordinates of all 5 atoms:
Sc  0.0000  0.0000  0.5000  2 La 2.63
Sc  0.5000  0.0000  0.0000  2 La 2.63
P  0.5000  0.5000  0.5000  4 Ge 3.72, 8 Sc 3.73
Ge  0.0000  0.5000  0.0000  2 La 2.65
La  0.0000  0.0000  0.0000  4 Sc 2.63, 2 Ge 2.65

Computed properties:
- symmetry = P4/mmm (123)
- density of states at the Fermi level (states/eV/f.u.) = 5.4
- energy relative to the elements (eV/atom) = 1.2360


Ba3ZnGe2Au6: relaxed, PBE.

abc: 6.9856 6.9856 8.0250
angles: 90.00 90.00 120.00
With the nearest neighbours (Å) after each atom.
Fractional coordinates of all 12 atoms:
Ba  0.3333  0.6667  0.7045  1 Ge 3.33, 9 Au 3.43-3.52
Ba  0.6667  0.3333  0.2955  1 Ge 3.33, 9 Au 3.43-3.52
Ba  0.0000  0.0000  0.0000  6 Au 3.53
Zn  0.0000  0.0000  0.5000  6 Au 2.55
Ge  0.6667  0.3333  0.8808  3 Au 2.55
Ge  0.3333  0.6667  0.1192  3 Au 2.55
Au  0.6338  0.8169  0.3423  1 Zn 2.55, 1 Ge 2.55
Au  0.1831  0.3662  0.3423  1 Zn 2.55, 1 Ge 2.55
Au  0.1831  0.8169  0.3423  1 Ge 2.55, 1 Zn 2.55
Au  0.8169  0.6338  0.6577  1 Zn 2.55, 1 Ge 2.55
Au  0.3662  0.1831  0.6577  1 Zn 2.55, 1 Ge 2.55
Au  0.8169  0.1831  0.6577  1 Ge 2.55, 1 Zn 2.55

Computed properties:
- symmetry = P-3m1 (164)
- density of states at the Fermi level (states/eV/f.u.) = 4.9
- energy relative to the elements (eV/atom) = -0.4849


Li7Ag2: relaxed, PBE.

abc: 5.0950 5.0950 7.0397
angles: 90.00 90.00 120.00
With the nearest neighbours (Å) after each atom.
Fractional coordinates of all 9 atoms:
Li  0.0000  0.0000  0.0000  6 Li 2.86, 6 Ag 2.94
Li  0.6585  0.0000  0.3226  2 Ag 2.82, 10 Li 2.86-3.04
Li  0.0000  0.6585  0.3226  2 Ag 2.82, 10 Li 2.86-3.04
Li  0.3415  0.3415  0.3226  2 Ag 2.82, 10 Li 2.86-3.04
Li  0.0000  0.3415  0.6774  2 Ag 2.82, 10 Li 2.86-3.04
Li  0.3415  0.0000  0.6774  2 Ag 2.82, 10 Li 2.86-3.04
Li  0.6585  0.6585  0.6774  2 Ag 2.82, 10 Li 2.86-3.04
Ag  0.3333  0.6667  0.0000  9 Li 2.82-2.94, 3 Ag 2.94
Ag  0.6667  0.3333  0.0000  9 Li 2.82-2.94, 3 Ag 2.94

Computed properties:
- symmetry = P-31m (162)
- density of states at the Fermi level (states/eV/f.u.) = 3.4
- E above lowest polymorph (eV per atom) = 0.0000
- energy relative to the elements (eV/atom) = -0.0940


Pb2Se: relaxed, PBE.

abc: 12.5421 12.5421 12.5421
angles: 162.15 162.15 25.34
With the nearest neighbours (Å) after each atom.
Fractional coordinates of all 6 atoms:
Pb  0.1841  0.6841  0.5000  4 Se 3.19, 3 Pb 3.23-3.49
Pb  0.5659  0.5659  0.0000  4 Se 3.19, 3 Pb 3.23-3.49
Pb  0.3159  0.8159  0.5000  4 Se 3.19, 3 Pb 3.23-3.49
Pb  0.4341  0.4341  0.0000  4 Se 3.19, 3 Pb 3.23-3.49
Se  0.7500  0.2500  0.5000  8 Pb 3.19
Se  0.0000  0.0000  0.0000  8 Pb 3.19

Computed properties:
- symmetry = I4_1/amd (141)
- density of states at the Fermi level (states/eV/f.u.) = 2.0
- E above lowest polymorph (eV per atom) = 0.1691


NiPb3S: relaxed, PBE.

abc: 5.4714 5.4714 5.4714
angles: 90.00 90.00 90.00
With the nearest neighbours (Å) after each atom.
Fractional coordinates of all 5 atoms:
Pb  0.0000  0.5000  0.0000  2 S 2.74
Pb  0.0000  0.0000  0.5000  2 S 2.74
Pb  0.5000  0.0000  0.0000  2 S 2.74
Ni  0.5000  0.5000  0.5000  12 Pb 3.87
S  0.0000  0.0000  0.0000  6 Pb 2.74

Computed properties:
- symmetry = Pm-3m (221)
- density of states at the Fermi level (states/eV/f.u.) = 5.4
- E above lowest polymorph (eV per atom) = 0.5678


Tb2Sm2Pt3: relaxed, PBE.

abc: 7.6612 7.6612 7.6612
angles: 109.47 109.47 109.47
With the nearest neighbours (Å) after each atom.
Fractional coordinates of all 14 atoms:
Tb  0.0000  0.0000  0.8772  3 Pt 2.87
Tb  0.5000  0.8772  0.5000  3 Pt 2.87
Tb  0.1228  0.6228  0.6228  3 Pt 2.87
Tb  0.3772  0.5000  0.0000  3 Pt 2.87
Sm  0.5000  0.3748  0.5000  3 Pt 2.87
Sm  0.0000  0.0000  0.3748  3 Pt 2.87
Sm  0.6252  0.1252  0.1252  3 Pt 2.87
Sm  0.8748  0.5000  0.0000  3 Pt 2.87
Pt  0.7500  0.6303  0.3803  2 Sm 2.87, 2 Tb 2.87
Pt  0.2500  0.8697  0.1197  2 Sm 2.87, 2 Tb 2.87
Pt  0.6197  0.7500  0.8697  2 Sm 2.87, 2 Tb 2.87
Pt  0.8803  0.2500  0.6303  2 Sm 2.87, 2 Tb 2.87
Pt  0.3697  0.1197  0.7500  2 Sm 2.87, 2 Tb 2.87
Pt  0.1303  0.3803  0.2500  2 Sm 2.87, 2 Tb 2.87

Computed properties:
- symmetry = I2_13 (199)
- density of states at the Fermi level (states/eV/f.u.) = 4.7
- energy relative to the elements (eV/atom) = -1.0540


PC3S: relaxed, PBE.

abc: 3.5857 3.5857 3.5857
angles: 90.00 90.00 90.00
With the nearest neighbours (Å) after each atom.
Fractional coordinates of all 5 atoms:
P  0.5000  0.5000  0.5000  12 C 2.54
S  0.0000  0.0000  0.0000  6 C 1.79
C  0.0000  0.5000  0.0000  2 S 1.79
C  0.0000  0.0000  0.5000  2 S 1.79
C  0.5000  0.0000  0.0000  2 S 1.79

Computed properties:
- symmetry = Pm-3m (221)
- density of states at the Fermi level (states/eV/f.u.) = 1.8
- E above lowest polymorph (eV per atom) = 0.3681